The following is a DFT calculation (GGA-PBEsol) of RbAg2As2 after structural relaxation.

Geometry as extended XYZ:
```
5
Lattice="-2.299 2.299 5.303 2.299 -2.299 5.303 2.299 2.299 -5.303" Properties=species:S:1:pos:R:3 pbc="T T T"
Rb 0.000 0.000 0.000
Ag 2.299 0.000 2.651
Ag 0.000 2.299 2.651
As 0.000 0.000 4.057
As 0.000 0.000 6.549
```

Properties
- Magnetization: 0.00 μB/cell
- Energy of formation from the pure elements: -0.147 eV/atom
- DOS(E_F): 1.41 states/eV per cell